Record 1
Below is an optimized crystal structure of VSbTe2I, with properties calculated at the GGA-PBE level.

Summary:
The crystal system is tetragonal. For the total DFT energy (no corrections), the calculation gives -0.1496 Ha/atom.

The structure in CIF format:
```
data_VSbTe2I
_cell_length_a 5.122
_cell_length_b 5.122
_cell_length_c 5.477
_cell_angle_alpha 90.00
_cell_angle_beta 90.00
_cell_angle_gamma 90.00
_symmetry_space_group_name_H-M 'P 4/m m m'
_symmetry_Int_Tables_number 123
_symmetry_space_group_name_Hall '-P 4 2'
loop_
_atom_site_label
_atom_site_fract_x
_atom_site_fract_y
_atom_site_fract_z
V1 0.000 0.000 0.000
Sb1 0.000 0.000 0.500
Te1 0.000 0.500 0.000
I1 0.500 0.500 0.500
```


Record 2
Below is an optimized crystal structure of VSbTe2I, with properties calculated at the GGA-PBE level.

Summary:
The crystal system is tetragonal. For the total DFT energy (no corrections), the calculation gives -0.1145 Ha/atom.

The structure in CIF format:
```
data_VSbTe2I
_cell_length_a 5.809
_cell_length_b 5.809
_cell_length_c 5.747
_cell_angle_alpha 90.00
_cell_angle_beta 90.00
_cell_angle_gamma 90.00
_symmetry_space_group_name_H-M 'P 4/m m m'
_symmetry_Int_Tables_number 123
_symmetry_space_group_name_Hall '-P 4 2'
loop_
_atom_site_label
_atom_site_fract_x
_atom_site_fract_y
_atom_site_fract_z
V1 0.000 0.000 0.000
Sb1 0.500 0.500 0.500
Te1 0.000 0.500 0.500
I1 0.500 0.500 0.000
```


Record 3
Below is an optimized crystal structure of VSbTe2I, with properties calculated at the GGA-PBE level.

Summary:
The crystal system is tetragonal. For the total DFT energy (no corrections), the calculation gives -0.1445 Ha/atom.

The structure in CIF format:
```
data_VSbTe2I
_cell_length_a 5.319
_cell_length_b 5.319
_cell_length_c 5.360
_cell_angle_alpha 90.00
_cell_angle_beta 90.00
_cell_angle_gamma 90.00
_symmetry_space_group_name_H-M 'P 4/m m m'
_symmetry_Int_Tables_number 123
_symmetry_space_group_name_Hall '-P 4 2'
loop_
_atom_site_label
_atom_site_fract_x
_atom_site_fract_y
_atom_site_fract_z
V1 0.000 0.000 0.000
Sb1 0.500 0.500 0.500
Te1 0.000 0.500 0.000
I1 0.000 0.000 0.500
```


Record 4
Below is an optimized crystal structure of VSbTe2I, with properties calculated at the GGA-PBE level.

Summary:
The crystal system is tetragonal. For the total DFT energy (no corrections), the calculation gives -0.0962 Ha/atom.

The structure in CIF format:
```
data_VSbTe2I
_cell_length_a 5.708
_cell_length_b 5.708
_cell_length_c 5.809
_cell_angle_alpha 90.00
_cell_angle_beta 90.00
_cell_angle_gamma 90.00
_symmetry_space_group_name_H-M 'P 4/m m m'
_symmetry_Int_Tables_number 123
_symmetry_space_group_name_Hall '-P 4 2'
loop_
_atom_site_label
_atom_site_fract_x
_atom_site_fract_y
_atom_site_fract_z
V1 0.000 0.000 0.000
Sb1 0.500 0.500 0.000
Te1 0.000 0.500 0.500
I1 0.500 0.500 0.500
```


Record 5
Below is an optimized crystal structure of YSbTeI2, with properties calculated at the GGA-PBE level.

Summary:
The crystal system is tetragonal. For the total DFT energy (no corrections), the calculation gives -0.1189 Ha/atom.

The structure in CIF format:
```
data_YSbTeI2
_cell_length_a 5.822
_cell_length_b 5.822
_cell_length_c 6.013
_cell_angle_alpha 90.00
_cell_angle_beta 90.00
_cell_angle_gamma 90.00
_symmetry_space_group_name_H-M 'P 4/m m m'
_symmetry_Int_Tables_number 123
_symmetry_space_group_name_Hall '-P 4 2'
loop_
_atom_site_label
_atom_site_fract_x
_atom_site_fract_y
_atom_site_fract_z
Y1 0.000 0.000 0.000
Sb1 0.500 0.500 0.500
Te1 0.500 0.500 0.000
I1 0.000 0.500 0.500
```


Record 6
Below is an optimized crystal structure of YSbTeI2, with properties calculated at the GGA-PBE level.

Summary:
The crystal system is tetragonal. For the total DFT energy (no corrections), the calculation gives -0.1358 Ha/atom.

The structure in CIF format:
```
data_YSbTeI2
_cell_length_a 5.888
_cell_length_b 5.888
_cell_length_c 6.155
_cell_angle_alpha 90.00
_cell_angle_beta 90.00
_cell_angle_gamma 90.00
_symmetry_space_group_name_H-M 'P 4/m m m'
_symmetry_Int_Tables_number 123
_symmetry_space_group_name_Hall '-P 4 2'
loop_
_atom_site_label
_atom_site_fract_x
_atom_site_fract_y
_atom_site_fract_z
Y1 0.000 0.000 0.000
Sb1 0.500 0.500 0.500
Te1 0.000 0.000 0.500
I1 0.000 0.500 0.000
```


Total magnetic moment values (in μB per cell) by entry order: 0.00, 0.12, 2.40, 0.12, 0.85, 2.00.
Uncorrected formation energy values (in eV per atom) by entry order: 0.1436, 1.0992, 0.2841, 1.5981, 0.1309, -0.3292.